Crystalline Cs2Rb2Hg3 at its relaxed geometry. Source: Alexandria, functional PBE.

Results
Symmetry = No. 12
Electronic total energy = -5.8 eV per cell
E_form = -0.18 eV/atom
Volume = 390 Å³ per cell

Cell: 10.512 10.512 7.258 Å, 101.11 101.11 29.75°
Atoms (fractional coordinates):
Cs (0.150, 0.150, 0.067)
Cs (0.850, 0.850, 0.933)
Rb (0.399, 0.399, 0.454)
Rb (0.601, 0.601, 0.546)
Hg (0.234, 0.234, 0.599)
Hg (0.500, 0.500, 0.000)
Hg (0.766, 0.766, 0.401)